A relaxed structure of InRu2Br, computed with PBE-GGA.

The structure in POSCAR format:
```
InRu2Br
1.0
6.002 0.000 0.000
0.000 6.002 0.000
3.001 3.001 5.298
Ru Br In
4 2 2
Cartesian
4.262 1.500 1.325
1.740 4.501 1.325
4.501 4.741 3.974
7.502 7.263 3.974
3.001 3.001 0.000
3.001 6.002 2.649
0.000 0.000 0.000
6.002 3.001 2.649
```

Properties
Formation energy without anion corrections, eV per atom: 1.07
DFT total energy, eV per formula unit: -18.670
DOS at the Fermi energy, states/eV per cell: 4.0
Magnetic moment, μB/atom: 0.000
ΔE to the lowest computed polymorph, meV/atom: 809

---

A relaxed structure of Pr4Co2Cl5, computed with PBE-GGA.

The structure in POSCAR format:
```
Pr4Co2Cl5
1.0
3.963 0.000 -0.901
-0.754 7.453 -3.315
0.241 0.069 10.221
Pr Co Cl
4 2 5
Cartesian
2.301 5.160 0.955
-0.210 2.075 -0.923
1.148 2.362 5.050
3.660 5.447 6.928
1.816 4.162 -1.176
1.633 3.360 7.181
0.458 3.095 2.014
2.992 4.427 3.991
0.065 6.983 0.284
1.981 0.000 -0.451
3.385 0.538 5.721
```

Properties
Formation energy without anion corrections, eV per atom: -1.23
DFT total energy, eV per formula unit: -56.111
DOS at the Fermi energy, states/eV per cell: 6.4
Magnetic moment, μB/atom: 0.000

---

A relaxed structure of Dy7Zn2Rh2, computed with PBE-GGA.

The structure in POSCAR format:
```
Dy7Zn2Rh2
1.0
6.573 -0.003 -0.889
0.003 7.066 0.003
-1.296 -0.002 6.505
Dy Zn Rh
7 2 2
Cartesian
5.926 1.843 2.364
1.992 5.215 6.063
-0.646 5.218 3.255
3.287 1.846 -0.443
0.000 0.000 0.000
2.641 5.259 2.810
2.639 1.802 2.809
4.388 3.529 4.670
0.892 3.532 0.949
4.272 -0.002 1.274
1.008 7.064 4.346
```

Properties
DFT total energy, eV per formula unit: -53.111
DOS at the Fermi energy, states/eV per cell: 10.3
Magnetic moment, μB/atom: 0.000
Calculated formation energy, meV per atom: -331

---

A relaxed structure of Ac4GeIr2, computed with PBE-GGA.

The structure in POSCAR format:
```
Ac4GeIr2
1.0
4.469 0.000 0.000
0.000 13.109 0.000
0.000 0.000 15.507
Ac Ir Ge
16 8 4
Cartesian
1.117 12.034 1.216
3.352 1.075 14.291
1.117 5.479 6.537
3.352 7.630 8.970
1.117 0.265 11.054
3.352 12.844 4.453
1.117 6.820 12.207
3.352 6.289 3.300
1.117 8.327 0.440
3.352 4.782 15.067
1.117 1.772 7.314
3.352 11.337 8.194
3.352 10.293 12.759
1.117 2.816 2.749
1.117 9.371 5.005
3.352 3.738 10.503
1.117 5.537 1.520
3.352 1.018 9.274
1.117 12.091 6.234
3.352 7.572 13.987
3.352 7.531 6.019
1.117 5.578 9.489
3.352 0.976 1.735
1.117 12.133 13.773
3.352 3.257 5.188
1.117 9.852 10.319
3.352 9.811 2.566
1.117 3.298 12.942
```

Properties
DFT total energy, eV per formula unit: -43.142
DOS at the Fermi energy, states/eV per cell: 21.0
Magnetic moment, μB/atom: 0.000
Calculated formation energy, meV per atom: -624
ΔE to the lowest computed polymorph, meV/atom: 0

---

A relaxed structure of VGeRu3, computed with PBE-GGA.

The structure in POSCAR format:
```
VGeRu3
1.0
-3.824 1.905 1.317
-2.009 -1.464 -3.715
-1.152 -3.770 2.108
Ru Ge V
3 1 1
Cartesian
-1.005 -0.732 -1.858
-0.576 -1.885 1.054
-1.912 0.953 0.659
0.000 0.000 0.000
-3.492 -1.664 -0.145
```

Properties
DFT total energy, eV per formula unit: -36.238
DOS at the Fermi energy, states/eV per cell: 6.8
Magnetic moment, μB/atom: 0.030
Calculated formation energy, meV per atom: 1065
ΔE to the lowest computed polymorph, meV/atom: 0

---

A relaxed structure of CeTm2PaAs4, computed with PBE-GGA.

The structure in POSCAR format:
```
CeTm2PaAs4
1.0
4.113 0.000 0.000
0.000 7.086 -0.129
0.000 2.505 6.676
Ce Tm Pa As
1 2 1 4
Cartesian
2.057 3.543 -0.064
0.000 2.505 6.676
2.057 1.253 3.338
0.000 4.795 3.274
0.000 7.218 4.864
4.113 2.373 1.683
2.057 5.978 1.590
2.057 3.613 4.957
```

Properties
DFT total energy, eV per formula unit: -53.865
DOS at the Fermi energy, states/eV per cell: 9.9
Magnetic moment, μB/atom: 0.156
Calculated formation energy, meV per atom: -1362

---

no.,calculated density (Mg/m³)
1,6.9
2,4.7
3,8.3
4,10.0
5,7.9
6,8.6